No. 1
# ScSi2Ru PBE optimized geometry
data_ScSi2Ru
_cell_length_a 4.2448
_cell_length_b 4.2448
_cell_length_c 16.5064
_cell_angle_alpha 90.00
_cell_angle_beta 90.00
_cell_angle_gamma 90.00
_symmetry_space_group_name_H-M 'P 1'
_symmetry_Int_Tables_number 1
loop_
_symmetry_equiv_pos_as_xyz
'x,y,z'
loop_
_atom_site_label
_atom_site_type_symbol
_atom_site_fract_x
_atom_site_fract_y
_atom_site_fract_z
Sc1 Sc 0.0000 0.0000 0.0000
Sc2 Sc 0.0000 0.5000 0.2500
Sc3 Sc 0.5000 0.0000 0.7500
Sc4 Sc 0.5000 0.5000 0.5000
Si1 Si 0.1244 0.2500 0.6250
Si2 Si 0.2500 0.6244 0.8750
Si3 Si 0.2500 0.8756 0.3750
Si4 Si 0.3756 0.2500 0.1250
Si5 Si 0.6244 0.7500 0.1250
Si6 Si 0.7500 0.1244 0.3750
Si7 Si 0.7500 0.3756 0.8750
Si8 Si 0.8756 0.7500 0.6250
Ru1 Ru 0.0000 0.0000 0.5000
Ru2 Ru 0.0000 0.5000 0.7500
Ru3 Ru 0.5000 0.0000 0.2500
Ru4 Ru 0.5000 0.5000 0.0000
# **Total magnetic moment**: 0.0 μB per cell
# **Fermi-level density of states**: 1.01 states/eV per atom
# **Formation energy (no corrections)**: -0.16 eV per atom

---

No. 2
# MnCoAg2 PBE optimized geometry
data_MnCoAg2
_cell_length_a 3.8936
_cell_length_b 3.8936
_cell_length_c 4.0247
_cell_angle_alpha 90.00
_cell_angle_beta 90.00
_cell_angle_gamma 90.00
_symmetry_space_group_name_H-M 'P 1'
_symmetry_Int_Tables_number 1
loop_
_symmetry_equiv_pos_as_xyz
'x,y,z'
loop_
_atom_site_label
_atom_site_type_symbol
_atom_site_fract_x
_atom_site_fract_y
_atom_site_fract_z
Mn1 Mn 0.0000 0.0000 0.0000
Co1 Co 0.5000 0.5000 0.0000
Ag1 Ag 0.0000 0.5000 0.5000
Ag2 Ag 0.5000 0.0000 0.5000
# **Total magnetic moment**: 5.4 μB per cell
# **Fermi-level density of states**: 0.95 states/eV per atom
# **Relative energy among the computed polymorphs**: 0.104 eV per atom
# **Energy of formation from the pure elements**: 0.344 eV/atom

---

No. 3
# Al8Cu2Rh PBE optimized geometry
data_Al8Cu2Rh
_cell_length_a 7.2096
_cell_length_b 7.2096
_cell_length_c 7.2096
_cell_angle_alpha 148.34
_cell_angle_beta 119.48
_cell_angle_gamma 69.92
_symmetry_space_group_name_H-M 'P 1'
_symmetry_Int_Tables_number 1
loop_
_symmetry_equiv_pos_as_xyz
'x,y,z'
loop_
_atom_site_label
_atom_site_type_symbol
_atom_site_fract_x
_atom_site_fract_y
_atom_site_fract_z
Al1 Al 0.1047 0.3362 0.7685
Al2 Al 0.1530 0.1530 0.0000
Al3 Al 0.2978 0.0000 0.2978
Al4 Al 0.4323 0.6638 0.7685
Al5 Al 0.5677 0.3362 0.2315
Al6 Al 0.7022 0.0000 0.7022
Al7 Al 0.8470 0.8470 0.0000
Al8 Al 0.8953 0.6638 0.2315
Cu1 Cu 0.3222 0.8222 0.5000
Cu2 Cu 0.6778 0.1778 0.5000
Rh1 Rh 0.0000 0.5000 0.5000
# **Total magnetic moment**: 0.0 μB per cell
# **Fermi-level density of states**: 0.41 states/eV per atom
# **Energy of formation from the pure elements**: -0.196 eV/atom

---

No. 4
# GdPa3 PBE optimized geometry
data_GdPa3
_cell_length_a 4.7056
_cell_length_b 4.7056
_cell_length_c 4.7056
_cell_angle_alpha 90.00
_cell_angle_beta 90.00
_cell_angle_gamma 90.00
_symmetry_space_group_name_H-M 'P 1'
_symmetry_Int_Tables_number 1
loop_
_symmetry_equiv_pos_as_xyz
'x,y,z'
loop_
_atom_site_label
_atom_site_type_symbol
_atom_site_fract_x
_atom_site_fract_y
_atom_site_fract_z
Gd1 Gd 0.0000 0.0000 0.0000
Pa1 Pa 0.0000 0.5000 0.5000
Pa2 Pa 0.5000 0.0000 0.5000
Pa3 Pa 0.5000 0.5000 0.0000
# **Total magnetic moment**: 6.9 μB per cell
# **Fermi-level density of states**: 2.42 states/eV per atom
# **Relative energy among the computed polymorphs**: 0.021 eV per atom
# **Energy of formation from the pure elements**: 0.179 eV/atom

---

No. 5
# Pr2SnRh3 PBE optimized geometry
data_Pr2SnRh3
_cell_length_a 4.6327
_cell_length_b 5.5568
_cell_length_c 10.4465
_cell_angle_alpha 90.00
_cell_angle_beta 90.00
_cell_angle_gamma 90.00
_symmetry_space_group_name_H-M 'P 1'
_symmetry_Int_Tables_number 1
loop_
_symmetry_equiv_pos_as_xyz
'x,y,z'
loop_
_atom_site_label
_atom_site_type_symbol
_atom_site_fract_x
_atom_site_fract_y
_atom_site_fract_z
Pr1 Pr 0.0000 0.0000 0.1809
Pr2 Pr 0.0000 0.0000 0.8191
Pr3 Pr 0.5000 0.5000 0.3191
Pr4 Pr 0.5000 0.5000 0.6809
Sn1 Sn 0.0000 0.0000 0.5000
Sn2 Sn 0.5000 0.5000 0.0000
Rh1 Rh 0.0000 0.5000 0.1327
Rh2 Rh 0.0000 0.5000 0.5000
Rh3 Rh 0.0000 0.5000 0.8673
Rh4 Rh 0.5000 0.0000 0.0000
Rh5 Rh 0.5000 0.0000 0.3673
Rh6 Rh 0.5000 0.0000 0.6327
# **Total magnetic moment**: 0.0 μB per cell
# **Fermi-level density of states**: 0.81 states/eV per atom
# **Energy of formation from the pure elements**: -0.443 eV/atom

---

No. 6
# Tb3HoCd6 PBE optimized geometry
data_Tb3HoCd6
_cell_length_a 9.2073
_cell_length_b 5.1549
_cell_length_c 11.0440
_cell_angle_alpha 90.00
_cell_angle_beta 105.35
_cell_angle_gamma 90.00
_symmetry_space_group_name_H-M 'P 1'
_symmetry_Int_Tables_number 1
loop_
_symmetry_equiv_pos_as_xyz
'x,y,z'
loop_
_atom_site_label
_atom_site_type_symbol
_atom_site_fract_x
_atom_site_fract_y
_atom_site_fract_z
Tb1 Tb 0.0279 0.2500 0.3930
Tb2 Tb 0.1499 0.7500 0.2096
Tb3 Tb 0.2608 0.2500 0.0020
Tb4 Tb 0.7392 0.7500 0.9980
Tb5 Tb 0.8501 0.2500 0.7904
Tb6 Tb 0.9721 0.7500 0.6070
Ho1 Ho 0.4450 0.2500 0.6056
Ho2 Ho 0.5550 0.7500 0.3944
Cd1 Cd 0.0498 0.7500 0.9067
Cd2 Cd 0.1617 0.2500 0.7071
Cd3 Cd 0.2620 0.7500 0.5057
Cd4 Cd 0.3531 0.2500 0.3068
Cd5 Cd 0.3556 0.7500 0.8082
Cd6 Cd 0.4491 0.7500 0.1037
Cd7 Cd 0.5509 0.2500 0.8963
Cd8 Cd 0.6444 0.2500 0.1918
Cd9 Cd 0.6469 0.7500 0.6932
Cd10 Cd 0.7380 0.2500 0.4943
Cd11 Cd 0.8383 0.7500 0.2929
Cd12 Cd 0.9502 0.2500 0.0933
# **Total magnetic moment**: 0.0 μB per cell
# **Fermi-level density of states**: 0.76 states/eV per atom
# **Energy of formation from the pure elements**: -0.291 eV/atom

---

Number 1: calculated density 4.52 Mg/m³. Number 2: calculated density 8.97 Mg/m³. Number 3: calculated density 4.38 Mg/m³. Number 4: calculated density 13.55 Mg/m³. Number 5: calculated density 8.76 Mg/m³. Number 6: calculated density 8.65 Mg/m³.